# 1
A relaxed structure of LaGeOs, computed with PBE-GGA.

```
data_LaGeOs
_cell_length_a 4.467
_cell_length_b 4.499
_cell_length_c 6.864
_cell_angle_alpha 90.00
_cell_angle_beta 90.00
_cell_angle_gamma 90.00
_space_group_name_H-M_alt 'P m c 21'
_space_group_IT_number 26
_space_group_name_Hall 'P 2c -2'
loop_
_atom_site_label
_atom_site_type_symbol
_atom_site_fract_x
_atom_site_fract_y
_atom_site_fract_z
La1 La 0.000 0.201 0.000
Ge1 Ge 0.500 0.323 0.649
Os1 Os 0.500 0.174 0.302
```

Results
- DFT formation energy: -1.06 eV per formula unit
- Volume: 23.00 A^3/atom
- Total DFT energy (no corrections): -0.2674 hartree per atom

# 2
A relaxed structure of Sc2TcIr, computed with PBE-GGA.

```
data_Sc2TcIr
_cell_length_a 3.1071
_cell_length_b 3.1071
_cell_length_c 24.9100
_cell_angle_alpha 90.00
_cell_angle_beta 90.00
_cell_angle_gamma 120.00
_space_group_name_H-M_alt 'R -3 m'
_space_group_IT_number 166
_space_group_name_Hall '-R 3 2"'
loop_
_atom_site_label
_atom_site_type_symbol
_atom_site_fract_x
_atom_site_fract_y
_atom_site_fract_z
Sc1 Sc 0.0000 0.0000 0.2481
Tc1 Tc 0.0000 0.0000 0.5000
Ir1 Ir 0.0000 0.0000 0.0000
```

Results
- DFT formation energy: -0.89 eV per formula unit
- Volume: 17.36 A^3/atom
- Total DFT energy (no corrections): -0.3011 hartree per atom

# 3
A relaxed structure of CdGe2CI, computed with PBE-GGA.

```
data_CdGe2CI
_cell_length_a 5.609
_cell_length_b 5.609
_cell_length_c 4.019
_cell_angle_alpha 90.00
_cell_angle_beta 90.00
_cell_angle_gamma 90.00
_space_group_name_H-M_alt 'P 4/m m m'
_space_group_IT_number 123
_space_group_name_Hall '-P 4 2'
loop_
_atom_site_label
_atom_site_type_symbol
_atom_site_fract_x
_atom_site_fract_y
_atom_site_fract_z
Cd1 Cd 0.000 0.000 0.000
Ge1 Ge 0.000 0.500 0.000
C1 C 0.000 0.000 0.500
I1 I 0.500 0.500 0.500
```

Results
- ΔE_f (raw): 1.399 eV/atom
- Volume: 25.28 A^3/atom
- Total DFT energy (no corrections): -0.1024 hartree per atom

Copy entry 2 word for word.
A relaxed structure of Sc2TcIr, computed with PBE-GGA.

```
data_Sc2TcIr
_cell_length_a 3.1071
_cell_length_b 3.1071
_cell_length_c 24.9100
_cell_angle_alpha 90.00
_cell_angle_beta 90.00
_cell_angle_gamma 120.00
_space_group_name_H-M_alt 'R -3 m'
_space_group_IT_number 166
_space_group_name_Hall '-R 3 2"'
loop_
_atom_site_label
_atom_site_type_symbol
_atom_site_fract_x
_atom_site_fract_y
_atom_site_fract_z
Sc1 Sc 0.0000 0.0000 0.2481
Tc1 Tc 0.0000 0.0000 0.5000
Ir1 Ir 0.0000 0.0000 0.0000
```

Results
- DFT formation energy: -0.89 eV per formula unit
- Volume: 17.36 A^3/atom
- Total DFT energy (no corrections): -0.3011 hartree per atom